# Si2PbBr, optimized geometry, DFT PBE
data_Si2PbBr
_cell_length_a 7.1431
_cell_length_b 7.1431
_cell_length_c 7.1431
_cell_angle_alpha 90.00
_cell_angle_beta 90.00
_cell_angle_gamma 90.00
_symmetry_space_group_name_H-M 'P 1'
_symmetry_Int_Tables_number 1
loop_
_symmetry_equiv_pos_as_xyz
'x,y,z'
loop_
_atom_site_label
_atom_site_type_symbol
_atom_site_fract_x
_atom_site_fract_y
_atom_site_fract_z
Si1 Si 0.0000 0.0000 0.0000
Si2 Si 0.0000 0.5000 0.5000
Si3 Si 0.2500 0.2500 0.2500
Si4 Si 0.2500 0.7500 0.7500
Si5 Si 0.5000 0.0000 0.5000
Si6 Si 0.5000 0.5000 0.0000
Si7 Si 0.7500 0.2500 0.7500
Si8 Si 0.7500 0.7500 0.2500
Pb1 Pb 0.0000 0.0000 0.5000
Pb2 Pb 0.0000 0.5000 0.0000
Pb3 Pb 0.5000 0.0000 0.0000
Pb4 Pb 0.5000 0.5000 0.5000
Br1 Br 0.2500 0.2500 0.7500
Br2 Br 0.2500 0.7500 0.2500
Br3 Br 0.7500 0.2500 0.2500
Br4 Br 0.7500 0.7500 0.7500
# raw formation energy: 0.5573 eV/atom
# calculated density: 6.26 Mg/m³
# size of the total moment: 0.00 Bohr magnetons per cell
# E_tot: -3.500 eV/atom
# crystal system: cubic